Record 1
12
Lattice="4.1815 0.0000 0.0000 0.0000 4.1815 0.0000 0.0000 0.0000 15.3420" Properties=species:S:1:pos:R:3 comment="CaPm2Sn3Pd6, optimized geometry, DFT GGA-PBE" spacegroup="No. 123" dos_at_fermi_per_ev_cell=5.510 e_tot_ry_per_atom=-0.3853 magnetic_moment_mub_per_fu=0.0 formation_enthalpy_0k_ev_per_fu=-8.24 pbc="T T T"
Ca 0.0000 0.0000 0.0000
Pm 0.0000 0.0000 5.4667
Pm 0.0000 0.0000 9.8753
Sn 2.0908 2.0908 1.5294
Sn 2.0908 2.0908 7.6710
Sn 2.0908 2.0908 13.8126
Pd 0.0000 2.0908 3.1705
Pd 0.0000 2.0908 12.1715
Pd 2.0908 0.0000 3.1705
Pd 2.0908 0.0000 12.1715
Pd 2.0908 2.0908 5.0597
Pd 2.0908 2.0908 10.2823


Record 2
18
Lattice="2.1760 -9.3812 0.0000 2.1760 9.3812 0.0000 0.0000 0.0000 13.2576" Properties=species:S:1:pos:R:3 comment="Sm2TmAgTe5, optimized geometry, DFT GGA-PBE" e_form_raw_kj_per_mol_atoms=-110.4 spacegroup="No. 36" dos_at_fermi_per_ev_cell=0.226 e_tot_ry_per_atom=-0.3493 magnetic_moment_mub_per_fu=0.0 pbc="T T T"
Sm 2.1760 7.2963 6.6288
Sm 2.1760 7.0172 1.5513
Sm 2.1760 -7.0172 8.1801
Sm 2.1760 -7.2963 0.0000
Tm 2.1760 5.7846 10.9022
Tm 2.1760 -5.7846 4.2734
Ag 2.1760 1.2957 3.6358
Ag 2.1760 -1.2957 10.2646
Te 2.1760 8.5846 11.8278
Te 2.1760 4.0222 6.3679
Te 2.1760 3.6571 2.0446
Te 2.1760 2.7084 10.7681
Te 2.1760 0.0282 7.8654
Te 2.1760 -0.0282 1.2366
Te 2.1760 -2.7084 4.1393
Te 2.1760 -3.6571 8.6734
Te 2.1760 -4.0222 12.9967
Te 2.1760 -8.5846 5.1991


Record 3
4
Lattice="2.8318 0.0000 0.0000 0.0000 2.8318 0.0000 0.0000 0.0000 9.6467" Properties=species:S:1:pos:R:3 comment="KOs2Br, optimized geometry, DFT GGA-PBE" e_form_raw_kj_per_mol_atoms=169.9 spacegroup="No. 123" dos_at_fermi_per_ev_cell=4.081 e_tot_ry_per_atom=-0.3342 magnetic_moment_mub_per_fu=0.0 pbc="T T T"
K 0.0000 0.0000 0.0000
Os 1.4159 1.4159 2.8164
Os 1.4159 1.4159 6.8303
Br 0.0000 0.0000 4.8233


Record 4
18
Lattice="9.2918 -5.3682 0.0000 9.2918 5.3682 0.0000 -2.0393 0.0000 5.8471" Properties=species:S:1:pos:R:3 comment="LaSm5Dy12, optimized geometry, DFT GGA-PBE" spacegroup="No. 12" dos_at_fermi_per_ev_cell=22.861 e_tot_ry_per_atom=-0.3406 magnetic_moment_mub_per_fu=0.0 formation_enthalpy_0k_ev_per_fu=0.34 pbc="T T T"
La 0.0000 0.0000 0.0000
Sm 2.0864 0.0000 2.9326
Sm 6.1887 0.0000 0.0016
Sm 8.2722 0.0000 2.9235
Sm 10.3556 0.0000 5.8455
Sm 14.4579 0.0000 2.9144
Dy 4.1404 3.5607 5.8413
Dy 5.1738 1.7960 2.9285
Dy 8.2722 3.5557 2.9235
Dy 9.2918 1.7844 0.0000
Dy 12.4039 3.5607 0.0058
Dy 11.3705 1.7960 2.9186
Dy 5.1738 -1.7960 2.9285
Dy 4.1404 -3.5607 5.8413
Dy 9.2918 -1.7844 0.0000
Dy 8.2722 -3.5557 2.9235
Dy 11.3705 -1.7960 2.9186
Dy 12.4039 -3.5607 0.0058


Record 5
5
Lattice="4.9838 0.0000 0.0000 0.0000 4.9838 0.0000 0.0000 0.0000 4.9838" Properties=species:S:1:pos:R:3 comment="HfHPt3, optimized geometry, DFT GGA-PBE" spacegroup="No. 221" dos_at_fermi_per_ev_cell=3.484 e_tot_ry_per_atom=-0.3693 magnetic_moment_mub_per_fu=0.9 pbc="T T T"
Hf 0.0000 0.0000 0.0000
H 2.4919 2.4919 2.4919
Pt 0.0000 0.0000 2.4919
Pt 0.0000 2.4919 0.0000
Pt 2.4919 0.0000 0.0000


Record 6
3
Lattice="4.1454 0.0000 0.0000 -2.0727 3.5900 0.0000 0.0000 0.0000 3.9680" Properties=species:S:1:pos:R:3 comment="PaGaSi, optimized geometry, DFT GGA-PBE" e_form_raw_kj_per_mol_atoms=-37.6 spacegroup="No. 187" dos_at_fermi_per_ev_cell=3.722 e_tot_ry_per_atom=-0.4683 magnetic_moment_mub_per_fu=0.0 pbc="T T T"
Pa 0.0000 0.0000 0.0000
Ga 0.0000 2.3933 1.9840
Si 2.0727 1.1967 1.9840


Record 7
3
Lattice="0.0000 2.8554 2.8554 2.8554 0.0000 2.8554 2.8554 2.8554 0.0000" Properties=species:S:1:pos:R:3 comment="CoCuCl, optimized geometry, DFT GGA-PBE" e_form_raw_kj_per_mol_atoms=59.8 spacegroup="No. 216" dos_at_fermi_per_ev_cell=4.846 e_tot_ry_per_atom=-0.2741 magnetic_moment_mub_per_fu=1.4 pbc="T T T"
Co 0.0000 0.0000 0.0000
Cu 1.4277 1.4277 1.4277
Cl 4.2831 4.2831 4.2831


Record 8
15
Lattice="4.6702 -4.6897 0.0000 4.6702 4.6897 0.0000 -4.6495 0.0000 4.6799" Properties=species:S:1:pos:R:3 comment="Zr8C4O3, optimized geometry, DFT GGA-PBE" e_form_raw_kj_per_mol_atoms=-146.1 spacegroup="No. 12" dos_at_fermi_per_ev_cell=4.222 e_tot_ry_per_atom=-0.7000 magnetic_moment_mub_per_fu=0.0 pbc="T T T"
Zr 4.6702 2.4339 0.0000
Zr 2.2790 0.0000 0.0740
Zr 0.0468 0.0000 2.3341
Zr 2.3454 2.2792 2.3400
Zr 2.3454 -2.2792 2.3400
Zr 4.6440 0.0000 2.3458
Zr 2.4119 0.0000 4.6059
Zr 4.6702 -2.4339 0.0000
C 0.0000 0.0000 0.0000
C 0.0103 2.3448 2.3400
C 0.0103 -2.3448 2.3400
C 2.3454 0.0000 2.3400
O 2.3351 2.3448 0.0000
O 2.3351 -2.3448 0.0000
O 4.6702 0.0000 0.0000


Record 9
4
Lattice="0.0000 2.8979 2.8979 2.8979 0.0000 2.8979 2.8979 2.8979 0.0000" Properties=species:S:1:pos:R:3 comment="AlV2N, optimized geometry, DFT GGA-PBE" e_form_raw_kj_per_mol_atoms=79.3 spacegroup="No. 225" dos_at_fermi_per_ev_cell=5.939 e_tot_ry_per_atom=-0.4964 magnetic_moment_mub_per_fu=0.3 pbc="T T T"
Al 0.0000 0.0000 0.0000
V 1.4490 1.4490 1.4490
V 4.3469 4.3469 4.3469
N 2.8979 2.8979 2.8979


Record 10
12
Lattice="8.3323 0.0000 0.0000 0.0000 3.4726 0.0000 0.0000 0.0000 9.7631" Properties=species:S:1:pos:R:3 comment="FePb2, optimized geometry, DFT GGA-PBE" spacegroup="No. 62" dos_at_fermi_per_ev_cell=14.611 e_tot_ry_per_atom=-0.3565 magnetic_moment_mub_per_fu=2.3 formation_enthalpy_0k_ev_per_fu=1.33 pbc="T T T"
Fe 1.9187 0.8682 1.8815
Fe 2.2475 2.6045 6.7631
Fe 6.0848 0.8682 3.0001
Fe 6.4137 2.6045 7.8816
Pb 0.0066 0.8682 6.7212
Pb 1.4686 2.6045 9.4551
Pb 2.6975 0.8682 4.5735
Pb 4.1596 2.6045 1.8397
Pb 4.1727 0.8682 7.9234
Pb 5.6348 2.6045 5.1896
Pb 6.8637 0.8682 0.3081
Pb 8.3258 2.6045 3.0419


Record 11
10
Lattice="7.3380 0.0000 0.0000 0.0000 7.3380 0.0000 0.0000 0.0000 3.1228" Properties=species:S:1:pos:R:3 comment="Li2Pd2Pb, optimized geometry, DFT GGA-PBE" spacegroup="No. 127" dos_at_fermi_per_ev_cell=3.224 e_tot_ry_per_atom=-0.2893 magnetic_moment_mub_per_fu=0.0 formation_enthalpy_0k_ev_per_fu=-1.76 pbc="T T T"
Li 1.1319 2.5371 0.0000
Li 2.5371 6.2061 0.0000
Li 4.8009 1.1319 0.0000
Li 6.2061 4.8009 0.0000
Pd 1.0245 4.6935 1.5614
Pd 2.6445 1.0245 1.5614
Pd 4.6935 6.3135 1.5614
Pd 6.3135 2.6445 1.5614
Pb 0.0000 0.0000 1.5614
Pb 3.6690 3.6690 1.5614


Record 12
14
Lattice="9.0018 -2.5984 0.0000 9.0018 2.5984 0.0000 -5.4209 0.0000 8.2935" Properties=species:S:1:pos:R:3 comment="K3In8Ag3, optimized geometry, DFT GGA-PBE" spacegroup="No. 12" dos_at_fermi_per_ev_cell=6.476 e_tot_ry_per_atom=-0.1828 magnetic_moment_mub_per_fu=0.0 formation_enthalpy_0k_ev_per_fu=-1.06 pbc="T T T"
K 0.0000 0.0000 0.0000
K 3.5676 0.0000 2.3495
K 9.0150 0.0000 5.9439
In 0.1192 0.0000 3.6274
In -1.9698 0.0000 6.9873
In 2.3154 0.0000 5.8996
In 7.1664 0.0000 2.7095
In 5.4163 0.0000 5.5839
In 10.2672 0.0000 2.3938
In 14.5525 0.0000 1.3062
In 12.4634 0.0000 4.6660
Ag -2.7104 0.0000 4.1467
Ag 0.7553 0.0000 8.2878
Ag 11.8273 0.0000 0.0056


Record 13
5
Lattice="4.8259 0.0000 0.0000 0.0000 4.8259 0.0000 0.0000 0.0000 5.0203" Properties=species:S:1:pos:R:3 comment="Tb2PrCdO, optimized geometry, DFT GGA-PBE" e_form_raw_kj_per_mol_atoms=-124.9 spacegroup="No. 123" dos_at_fermi_per_ev_cell=2.771 e_tot_ry_per_atom=-0.3879 magnetic_moment_mub_per_fu=0.0 pbc="T T T"
Tb 0.0000 2.4130 0.0000
Tb 2.4130 0.0000 0.0000
Pr 0.0000 0.0000 2.5101
Cd 2.4130 2.4130 2.5101
O 0.0000 0.0000 0.0000


Record 14
4
Lattice="1.7277 0.9975 12.5575 -1.7277 0.9975 12.5575 0.0000 -1.9950 12.5575" Properties=species:S:1:pos:R:3 comment="NaEr2Tm, optimized geometry, DFT GGA-PBE" spacegroup="No. 166" dos_at_fermi_per_ev_cell=4.838 e_tot_ry_per_atom=-0.2619 magnetic_moment_mub_per_fu=0.0 formation_enthalpy_0k_ev_per_fu=0.66 pbc="T T T"
Na 0.0000 0.0000 0.0000
Er 0.0000 0.0000 3.4913
Er 0.0000 0.0000 34.1811
Tm 0.0000 0.0000 18.8362


Record 15
3
Lattice="-2.0371 2.0371 5.1551 2.0371 -2.0371 5.1551 2.0371 2.0371 -5.1551" Properties=species:S:1:pos:R:3 comment="TbSnBi, optimized geometry, DFT GGA-PBE" spacegroup="No. 107" dos_at_fermi_per_ev_cell=2.497 e_tot_ry_per_atom=-0.3381 magnetic_moment_mub_per_fu=0.0 formation_enthalpy_0k_ev_per_fu=-1.29 pbc="T T T"
Tb 0.0000 0.0000 0.0000
Sn 0.0000 0.0000 6.8041
Bi 0.0000 0.0000 3.5326


Record 16
4
Lattice="2.2116 1.2769 8.0355 -2.2116 1.2769 8.0355 0.0000 -2.5537 8.0355" Properties=species:S:1:pos:R:3 comment="Ac2TeIr, optimized geometry, DFT GGA-PBE" e_form_raw_kj_per_mol_atoms=-101.8 spacegroup="No. 160" dos_at_fermi_per_ev_cell=3.052 e_tot_ry_per_atom=-0.4491 magnetic_moment_mub_per_fu=0.0 pbc="T T T"
Ac 0.0000 0.0000 0.0000
Ac 0.0000 0.0000 4.7210
Te 0.0000 0.0000 18.4350
Ir 0.0000 0.0000 14.4023


Record 17
16
Lattice="4.7424 0.0000 0.0000 0.0000 4.7424 0.0000 0.0000 0.0000 18.9258" Properties=species:S:1:pos:R:3 comment="Ca3ErMg12, optimized geometry, DFT GGA-PBE" spacegroup="No. 123" dos_at_fermi_per_ev_cell=9.523 e_tot_ry_per_atom=-0.1394 magnetic_moment_mub_per_fu=0.0 formation_enthalpy_0k_ev_per_fu=-0.65 pbc="T T T"
Ca 0.0000 0.0000 0.0000
Ca 0.0000 0.0000 4.7762
Ca 0.0000 0.0000 14.1496
Er 0.0000 0.0000 9.4629
Mg 0.0000 2.3712 2.3838
Mg 0.0000 2.3712 7.1770
Mg 0.0000 2.3712 11.7488
Mg 0.0000 2.3712 16.5419
Mg 2.3712 0.0000 2.3838
Mg 2.3712 0.0000 7.1770
Mg 2.3712 0.0000 11.7488
Mg 2.3712 0.0000 16.5419
Mg 2.3712 2.3712 0.0000
Mg 2.3712 2.3712 4.7369
Mg 2.3712 2.3712 9.4629
Mg 2.3712 2.3712 14.1888


Record 18
4
Lattice="1.6695 0.9639 11.9096 -1.6695 0.9639 11.9096 0.0000 -1.9278 11.9096" Properties=species:S:1:pos:R:3 comment="LiDy2Pu, optimized geometry, DFT GGA-PBE" spacegroup="No. 166" dos_at_fermi_per_ev_cell=10.992 e_tot_ry_per_atom=-0.4409 magnetic_moment_mub_per_fu=6.4 formation_enthalpy_0k_ev_per_fu=1.45 pbc="T T T"
Li 0.0000 0.0000 0.0000
Dy 0.0000 0.0000 14.6102
Dy 0.0000 0.0000 21.1185
Pu 0.0000 0.0000 17.8644


Record 19
14
Lattice="3.4258 1.9779 7.9545 -3.4258 1.9779 7.9545 0.0000 -3.9558 7.9545" Properties=species:S:1:pos:R:3 comment="BaGe3Ir3, optimized geometry, DFT GGA-PBE" spacegroup="No. 148" dos_at_fermi_per_ev_cell=8.270 e_tot_ry_per_atom=-0.4610 magnetic_moment_mub_per_fu=0.0 formation_enthalpy_0k_ev_per_fu=-1.55 pbc="T T T"
Ba 0.0000 0.0000 4.1383
Ba 0.0000 0.0000 19.7253
Ge -1.9885 0.2455 9.5424
Ge -1.2068 -1.5994 14.3212
Ge 0.7817 -1.8448 9.5424
Ge -0.7817 1.8449 14.3212
Ge 1.2068 1.5994 9.5424
Ge 1.9885 -0.2455 14.3212
Ir -1.9142 0.0835 7.0311
Ir 0.8848 -1.6995 7.0311
Ir -1.0294 -1.6160 16.8325
Ir 1.0294 1.6160 7.0311
Ir -0.8848 1.6995 16.8325
Ir 1.9142 -0.0835 16.8325


Record 20
4
Lattice="1.4579 -2.4026 0.0000 1.4579 2.4026 0.0000 0.0000 0.0000 9.2869" Properties=species:S:1:pos:R:3 comment="BeTc2Cl, optimized geometry, DFT GGA-PBE" e_form_raw_kj_per_mol_atoms=26.5 spacegroup="No. 35" dos_at_fermi_per_ev_cell=2.691 e_tot_ry_per_atom=-0.4631 magnetic_moment_mub_per_fu=0.0 pbc="T T T"
Be 0.0000 0.0000 0.0000
Tc 0.0000 0.0000 4.0872
Tc 1.4579 0.0000 1.9892
Cl 1.4579 0.0000 7.8999


Record 21
6
Lattice="-2.5308 2.5308 5.5677 2.5308 -2.5308 5.5677 2.5308 2.5308 -5.5677" Properties=species:S:1:pos:R:3 comment="CeMg2Zn2Ga, optimized geometry, DFT GGA-PBE" spacegroup="No. 139" dos_at_fermi_per_ev_cell=10.142 e_tot_ry_per_atom=-0.1740 magnetic_moment_mub_per_fu=1.2 formation_enthalpy_0k_ev_per_fu=0.50 pbc="T T T"
Ce 0.0000 0.0000 0.0000
Mg 2.5308 0.0000 2.7838
Mg 0.0000 2.5308 2.7838
Zn 0.0000 0.0000 3.1947
Zn 0.0000 0.0000 7.9406
Ga 0.0000 0.0000 5.5677


Record 22
5
Lattice="3.6096 0.0000 0.0000 0.0000 3.6096 0.0000 0.0000 0.0000 3.7647" Properties=species:S:1:pos:R:3 comment="MgSiCO2, optimized geometry, DFT GGA-PBE" e_form_raw_kj_per_mol_atoms=-72.6 spacegroup="No. 123" dos_at_fermi_per_ev_cell=1.245 e_tot_ry_per_atom=-0.4398 magnetic_moment_mub_per_fu=1.6 pbc="T T T"
Mg 0.0000 0.0000 0.0000
Si 1.8048 1.8048 1.8823
C 1.8048 1.8048 0.0000
O 0.0000 1.8048 1.8823
O 1.8048 0.0000 1.8823


Record 23
8
Lattice="4.8193 0.0000 0.0000 0.0000 4.8193 0.0000 0.0000 0.0000 9.6461" Properties=species:S:1:pos:R:3 comment="Tb6AlCd, optimized geometry, DFT GGA-PBE" spacegroup="No. 123" dos_at_fermi_per_ev_cell=13.317 e_tot_ry_per_atom=-0.3079 magnetic_moment_mub_per_fu=0.4 formation_enthalpy_0k_ev_per_fu=-1.08 pbc="T T T"
Tb 0.0000 0.0000 0.0000
Tb 0.0000 0.0000 4.8231
Tb 0.0000 2.4097 2.3437
Tb 0.0000 2.4097 7.3024
Tb 2.4097 0.0000 2.3437
Tb 2.4097 0.0000 7.3024
Al 2.4097 2.4097 0.0000
Cd 2.4097 2.4097 4.8231


Record 24
6
Lattice="0.0000 3.8459 3.8459 3.8459 0.0000 3.8459 3.8459 3.8459 0.0000" Properties=species:S:1:pos:R:3 comment="TbPaRe4, optimized geometry, DFT GGA-PBE" spacegroup="No. 216" dos_at_fermi_per_ev_cell=14.049 e_tot_ry_per_atom=-0.7897 magnetic_moment_mub_per_fu=0.0 formation_enthalpy_0k_ev_per_fu=-0.55 pbc="T T T"
Tb 0.0000 0.0000 0.0000
Pa 5.7689 5.7689 5.7689
Re 2.8828 2.8828 2.8828
Re 4.8090 4.8090 2.8828
Re 4.8090 2.8828 4.8090
Re 2.8828 4.8090 4.8090